*P*
Material: Ca3ThAl8
Method: DFT, PBE-GGA
State: optimized geometry

Lattice parameters (Å, degrees): 5.687 5.687 9.196 90.00 90.00 120.00
Fractional coordinates of all 12 atoms:
Al  0.504  0.008  0.748
Al  0.676  0.838  0.252
Al  0.333  0.667  0.005
Al  0.162  0.324  0.252
Al  0.162  0.838  0.252
Al  0.333  0.667  0.498
Al  0.504  0.496  0.748
Al  0.992  0.496  0.748
Ca  0.667  0.333  0.065
Ca  0.667  0.333  0.430
Ca  0.000  0.000  0.937
Th  0.000  0.000  0.567

=====

*Q*
Material: Ca3ThAl8
Method: DFT, PBE-GGA
State: optimized geometry

Lattice parameters (Å, degrees): 5.659 5.659 9.848 73.30 73.30 60.00
Fractional coordinates of all 12 atoms:
Al  0.937  0.441  0.686
Al  0.935  0.438  0.189
Al  0.438  0.935  0.189
Al  0.187  0.187  0.439
Al  0.688  0.688  0.936
Al  0.441  0.937  0.686
Al  0.937  0.937  0.686
Al  0.438  0.438  0.189
Ca  0.375  0.375  0.875
Ca  0.001  0.001  0.998
Ca  0.499  0.499  0.503
Th  0.875  0.875  0.375

=====

Most favorable structure: *Q*. The second most favorable one is 11 meV/atom above it.

=====

*P*
Material: CaTiAl2
Method: DFT, PBE-GGA
State: optimized geometry

Lattice parameters (Å, degrees): 3.040 3.040 8.554 90.00 90.00 90.00
Fractional coordinates of all 4 atoms:
Ti  0.500  0.500  0.000
Ca  0.500  0.500  0.500
Al  0.000  0.000  0.782
Al  0.000  0.000  0.218

=====

*Q*
Material: CaTiAl2
Method: DFT, PBE-GGA
State: optimized geometry

Lattice parameters (Å, degrees): 4.817 4.817 4.817 60.00 60.00 60.00
Fractional coordinates of all 4 atoms:
Al  0.750  0.750  0.750
Al  0.250  0.250  0.250
Ca  0.000  0.000  0.000
Ti  0.500  0.500  0.500

=====

*R*
Material: CaTiAl2
Method: DFT, PBE-GGA
State: optimized geometry

Lattice parameters (Å, degrees): 4.626 4.626 10.209 76.91 76.91 90.00
Last column: magnetic moment on the atom in μB.
Fractional coordinates of all 8 atoms:
Al  0.875  0.991  0.750  0.00
Al  0.009  0.625  0.250  0.00
Al  0.375  0.259  0.750  0.00
Al  0.741  0.125  0.250  0.00
Ti  0.750  0.250  0.500  1.22
Ti  0.000  0.000  0.000  1.23
Ca  0.250  0.750  0.500  0.06
Ca  0.500  0.500  0.000  0.06

=====

Most favorable structure: *P*. The second most favorable one is 172 meV/atom above it.

=====

*P*
Material: Ca2AlTl2
Method: DFT, PBE-GGA
State: optimized geometry

Lattice parameters (Å, degrees): 4.201 4.201 9.626 77.40 77.40 90.00
Fractional coordinates of all 5 atoms:
Al  0.000  0.000  0.000
Tl  0.250  0.750  0.500
Tl  0.750  0.250  0.500
Ca  0.594  0.594  0.811
Ca  0.406  0.406  0.189

=====

*Q*
Material: Ca2AlTl2
Method: DFT, PBE-GGA
State: optimized geometry

Lattice parameters (Å, degrees): 8.564 8.564 4.101 90.00 90.00 90.00
Fractional coordinates of all 10 atoms:
Tl  0.353  0.147  0.500
Tl  0.853  0.353  0.500
Tl  0.147  0.647  0.500
Tl  0.647  0.853  0.500
Ca  0.156  0.344  0.000
Ca  0.656  0.156  0.000
Ca  0.344  0.844  0.000
Ca  0.844  0.656  0.000
Al  0.500  0.500  0.000
Al  0.000  0.000  0.000

=====

Most favorable structure: *Q*. The second most favorable one is 89 meV/atom above it.

=====

*P*
Material: CaTmAl
Method: DFT, PBE-GGA
State: optimized geometry

Lattice parameters (Å, degrees): 3.484 5.194 5.194 120.00 90.00 90.00
Fractional coordinates of all 3 atoms:
Tm  0.387  0.333  0.667
Ca  0.960  0.000  0.000
Al  0.653  0.667  0.333

=====

*Q*
Material: CaTmAl
Method: DFT, PBE-GGA
State: optimized geometry

Lattice parameters (Å, degrees): 3.558 3.558 7.081 104.55 104.55 90.00
Fractional coordinates of all 3 atoms:
Ca  0.021  0.021  0.042
Al  0.675  0.675  0.350
Tm  0.304  0.304  0.608

=====

*R*
Material: CaTmAl
Method: DFT, PBE-GGA
State: optimized geometry

Lattice parameters (Å, degrees): 3.501 3.501 14.419 96.97 96.97 90.00
Fractional coordinates of all 6 atoms:
Ca  0.569  0.569  0.137
Ca  0.431  0.431  0.863
Al  0.861  0.861  0.722
Al  0.139  0.139  0.278
Tm  0.705  0.705  0.410
Tm  0.295  0.295  0.590

=====

Most favorable structure: *Q*. The second most favorable one is 15 meV/atom above it.

=====

*P*
Material: Ca2AlV2
Method: DFT, PBE-GGA
State: optimized geometry

Lattice parameters (Å, degrees): 8.107 8.107 3.705 90.00 90.00 90.00
Last column: magnetic moment on the atom in μB.
Fractional coordinates of all 10 atoms:
V  0.331  0.169  0.500  2.65
V  0.169  0.669  0.500  2.65
V  0.669  0.831  0.500  2.65
V  0.831  0.331  0.500  2.65
Ca  0.137  0.363  0.000  0.11
Ca  0.363  0.863  0.000  0.11
Ca  0.863  0.637  0.000  0.11
Ca  0.637  0.137  0.000  0.11
Al  0.000  0.000  0.000  -0.08
Al  0.500  0.500  0.000  -0.08

=====

*Q*
Material: Ca2AlV2
Method: DFT, PBE-GGA
State: optimized geometry

Lattice parameters (Å, degrees): 3.329 3.329 10.720 81.07 81.07 90.00
Fractional coordinates of all 5 atoms:
V  0.750  0.250  0.500
V  0.250  0.750  0.500
Ca  0.392  0.392  0.215
Ca  0.608  0.608  0.785
Al  0.000  0.000  0.000

=====

Most favorable structure: *Q*. The second most favorable one is 612 meV/atom above it.

=====

*P*
Material: CaAl3V
Method: DFT, PBE-GGA
State: optimized geometry

Lattice parameters (Å, degrees): 5.318 5.318 5.318 90.00 90.00 90.00
Last column: magnetic moment on the atom in μB.
Fractional coordinates of all 5 atoms:
Ca  0.000  0.000  0.000  -0.05
Al  0.000  0.000  0.500  -0.02
Al  0.000  0.500  0.000  -0.02
Al  0.500  0.000  0.000  -0.02
V  0.500  0.500  0.500  2.97

=====

*Q*
Material: CaAl3V
Method: DFT, PBE-GGA
State: optimized geometry

Lattice parameters (Å, degrees): 4.831 4.831 4.831 90.00 90.00 90.00
Fractional coordinates of all 5 atoms:
Al  0.000  0.000  0.500
Al  0.000  0.500  0.000
Al  0.500  0.000  0.000
Ca  0.500  0.500  0.500
V  0.000  0.000  0.000

=====

Most favorable structure: *Q*. The second most favorable one is 1475 meV/atom above it.

=====

*P*
Material: CaAlW
Method: DFT, PBE-GGA
State: optimized geometry

Lattice parameters (Å, degrees): 3.019 3.019 7.467 90.00 90.00 120.00
Fractional coordinates of all 3 atoms:
Al  0.000  0.000  0.975
W  0.333  0.667  0.686
Ca  0.667  0.333  0.339

=====

*Q*
Material: CaAlW
Method: DFT, PBE-GGA
State: optimized geometry

Lattice parameters (Å, degrees): 7.404 7.403 2.859 78.88 78.85 22.26
Fractional coordinates of all 3 atoms:
W  0.652  0.652  0.348
Al  0.014  0.014  0.986
Ca  0.334  0.334  0.666

=====

*R*
Material: CaAlW
Method: DFT, PBE-GGA
State: optimized geometry

Lattice parameters (Å, degrees): 5.881 5.881 5.881 151.13 140.68 49.51
Fractional coordinates of all 3 atoms:
Ca  0.331  0.331  0.000
Al  0.036  0.036  0.000
W  0.633  0.633  0.000

=====

Most favorable structure: *Q*. The second most favorable one is 83 meV/atom above it.

=====

*P*
Material: CaAlW
Method: DFT, PBE-GGA
State: optimized geometry

Lattice parameters (Å, degrees): 4.848 4.848 2.871 90.00 90.00 120.00
Fractional coordinates of all 3 atoms:
Ca  0.667  0.333  0.342
W  0.333  0.667  0.754
Al  0.000  0.000  0.903

=====

*Q*
Material: CaAlW
Method: DFT, PBE-GGA
State: optimized geometry

Lattice parameters (Å, degrees): 4.659 4.659 4.659 60.00 60.00 60.00
Last column: magnetic moment on the atom in μB.
Fractional coordinates of all 3 atoms:
W  0.500  0.500  0.500  1.70
Al  0.750  0.750  0.750  -0.05
Ca  0.000  0.000  0.000  0.05

=====

Most favorable structure: *P*. The second most favorable one is 468 meV/atom above it.

=====

*P*
Material: CaAl3W
Method: DFT, PBE-GGA
State: optimized geometry

Lattice parameters (Å, degrees): 4.914 4.914 4.914 90.00 90.00 90.00
Fractional coordinates of all 5 atoms:
Al  0.000  0.000  0.500
Al  0.500  0.000  0.000
Al  0.000  0.500  0.000
W  0.000  0.000  0.000
Ca  0.500  0.500  0.500

=====

*Q*
Material: CaAl3W
Method: DFT, PBE-GGA
State: optimized geometry

Lattice parameters (Å, degrees): 4.914 4.914 4.914 90.00 90.00 90.00
Fractional coordinates of all 5 atoms:
Al  0.000  0.500  0.000
Al  0.500  0.000  0.000
Al  0.000  0.000  0.500
Ca  0.000  0.000  0.000
W  0.500  0.500  0.500

=====

Most favorable structure: *P*. The second most favorable one is 2135 meV/atom above it.

=====

*P*
Material: Ca3AlW
Method: DFT, PBE-GGA
State: optimized geometry

Lattice parameters (Å, degrees): 5.728 5.728 5.728 90.00 90.00 90.00
Last column: magnetic moment on the atom in μB.
Fractional coordinates of all 5 atoms:
Ca  0.500  0.000  0.000  0.01
Ca  0.000  0.500  0.000  0.01
Ca  0.000  0.000  0.500  0.03
W  0.500  0.500  0.500  3.24
Al  0.000  0.000  0.000  -0.01

=====

*Q*
Material: Ca3AlW
Method: DFT, PBE-GGA
State: optimized geometry

Lattice parameters (Å, degrees): 5.515 5.515 5.515 90.00 90.00 90.00
Last column: magnetic moment on the atom in μB.
Fractional coordinates of all 5 atoms:
W  0.000  0.000  0.000  0.61
Al  0.500  0.500  0.500  0.01
Ca  0.000  0.500  0.000  0.03
Ca  0.000  0.000  0.500  0.01
Ca  0.500  0.000  0.000  0.03

=====

Most favorable structure: *Q*. The second most favorable one is 134 meV/atom above it.

=====

*P*
Material: Ca3YAl
Method: DFT, PBE-GGA
State: optimized geometry

Lattice parameters (Å, degrees): 5.959 5.959 5.959 90.00 90.00 90.00
Last column: magnetic moment on the atom in μB.
Fractional coordinates of all 5 atoms:
Y  0.000  0.000  0.000  0.69
Al  0.500  0.500  0.500  -0.04
Ca  0.500  0.000  0.000  0.07
Ca  0.000  0.500  0.000  0.12
Ca  0.000  0.000  0.500  0.16

=====

*Q*
Material: Ca3YAl
Method: DFT, PBE-GGA
State: optimized geometry

Lattice parameters (Å, degrees): 5.825 5.825 5.825 90.00 90.00 90.00
Fractional coordinates of all 5 atoms:
Al  0.000  0.000  0.000
Ca  0.000  0.000  0.500
Ca  0.000  0.500  0.000
Ca  0.500  0.000  0.000
Y  0.500  0.500  0.500

=====

Most favorable structure: *Q*. The second most favorable one is 743 meV/atom above it.

=====

*P*
Material: CaYAl3
Method: DFT, PBE-GGA
State: optimized geometry

Lattice parameters (Å, degrees): 5.452 5.452 5.452 90.00 90.00 90.00
Last column: magnetic moment on the atom in μB.
Fractional coordinates of all 5 atoms:
Al  0.000  0.500  0.000  0.03
Al  0.000  0.000  0.500  0.01
Al  0.500  0.000  0.000  0.02
Y  0.000  0.000  0.000  0.16
Ca  0.500  0.500  0.500  0.00

=====

*Q*
Material: CaYAl3
Method: DFT, PBE-GGA
State: optimized geometry

Lattice parameters (Å, degrees): 5.215 5.215 5.215 90.00 90.00 90.00
Fractional coordinates of all 5 atoms:
Al  0.000  0.000  0.500
Al  0.000  0.500  0.000
Al  0.500  0.000  0.000
Y  0.500  0.500  0.500
Ca  0.000  0.000  0.000

=====

Most favorable structure: *P*. The second most favorable one is 168 meV/atom above it.